Record 1
{
  "formula": "RbCr3Bi",
  "functional": "PBE",
  "state": "relaxed",
  "mass_density_g_cm3": 4.3,
  "sg": "Pm-3m",
  "formation_energy_ev_per_atom": 1.16,
  "cell": [[5.563, 0.000, 0.000], [0.000, 5.563, 0.000], [0.000, 0.000, 5.563]],
  "species": ["Rb", "Cr", "Cr", "Cr", "Bi"],
  "fractional_positions": [[0.000, 0.000, 0.000], [0.000, 0.500, 0.500], [0.500, 0.000, 0.500], [0.500, 0.500, 0.000], [0.500, 0.500, 0.500]]
}

=====

Record 2
{
  "formula": "RbCrBi3",
  "functional": "PBE",
  "state": "relaxed",
  "mass_density_g_cm3": 5.6,
  "sg": "Pm-3m",
  "formation_energy_ev_per_atom": 1.63,
  "cell": [[6.113, 0.000, 0.000], [0.000, 6.113, 0.000], [0.000, 0.000, 6.113]],
  "species": ["Rb", "Cr", "Bi", "Bi", "Bi"],
  "fractional_positions": [[0.000, 0.000, 0.000], [0.500, 0.500, 0.500], [0.000, 0.000, 0.500], [0.000, 0.500, 0.000], [0.500, 0.000, 0.000]]
}

=====

Record 3
{
  "formula": "RbCr2Bi2",
  "functional": "PBE",
  "state": "relaxed",
  "mass_density_g_cm3": 7.1,
  "sg": "P4/mbm",
  "formation_energy_ev_per_atom": 0.44,
  "cell": [[9.155, 0.000, 0.000], [0.000, 9.155, 0.000], [0.000, 0.000, 3.390]],
  "species": ["Rb", "Rb", "Cr", "Cr", "Cr", "Cr", "Bi", "Bi", "Bi", "Bi"],
  "fractional_positions": [[0.000, 0.000, 0.000], [0.500, 0.500, 0.000], [0.071, 0.429, 0.000], [0.429, 0.929, 0.000], [0.571, 0.071, 0.000], [0.929, 0.571, 0.000], [0.167, 0.667, 0.500], [0.333, 0.167, 0.500], [0.667, 0.833, 0.500], [0.833, 0.333, 0.500]]
}

=====

Record 4
{
  "formula": "RbCr3Bi",
  "functional": "PBE",
  "state": "relaxed",
  "mass_density_g_cm3": 4.5,
  "sg": "Pm-3m",
  "formation_energy_ev_per_atom": 2.18,
  "cell": [[5.518, 0.000, 0.000], [0.000, 5.518, 0.000], [0.000, 0.000, 5.518]],
  "species": ["Rb", "Cr", "Cr", "Cr", "Bi"],
  "fractional_positions": [[0.000, 0.000, 0.000], [0.000, 0.000, 0.500], [0.000, 0.500, 0.000], [0.500, 0.000, 0.000], [0.500, 0.500, 0.500]]
}